No. 1
Computed, not measured: crystalline CsTiTl2Pb at its relaxed geometry at the GGA-PBE level of DFT.

a b c (Å): 5.6526 5.6526 5.5231
angles (deg): 90.00 90.00 90.00
Last column: magnetic moment on the atom in μB.
Atoms (fractional coordinates):
Pb (0.0000, 0.0000, 0.5000)  -0.02
Ti (0.0000, 0.0000, 0.0000)  0.27
Cs (0.5000, 0.5000, 0.5000)  0.00
Tl (0.5000, 0.0000, 0.0000)  0.02
Tl (0.0000, 0.5000, 0.0000)  0.02

ΔE_f = 0.38 eV per formula unit
Total DFT energy (no corrections) = -3.36 eV per atom
Space-group type = P4/mmm (123)
M_tot = 0.36 μB/f.u.

No. 2
Computed, not measured: crystalline CsTiV2Pb at its relaxed geometry at the GGA-PBE level of DFT.

a b c (Å): 4.8515 6.0104 4.8515
angles (deg): 90.00 90.00 90.00
Last column: magnetic moment on the atom in μB.
Atoms (fractional coordinates):
V (0.5000, 0.0000, 0.0000)  1.99
Pb (0.0000, 0.5000, 0.0000)  -0.05
Ti (0.5000, 0.5000, 0.5000)  0.17
Cs (0.0000, 0.0000, 0.0000)  0.06
V (0.0000, 0.0000, 0.5000)  1.86

ΔE_f = 12.61 eV per formula unit
Total DFT energy (no corrections) = -3.62 eV per atom
Space-group type = P4/mmm (123)
M_tot = 4.48 μB/f.u.

No. 3
Computed, not measured: crystalline Cs3Tl7Pb2 at its relaxed geometry at the GGA-PBE level of DFT.

a b c (Å): 7.0215 7.0215 11.5820
angles (deg): 72.35 72.35 60.00
Atoms (fractional coordinates):
Pb (0.6633, 0.6633, 0.0100)
Cs (0.8569, 0.8569, 0.4294)
Pb (0.3367, 0.3367, 0.9900)
Tl (0.5840, 0.5840, 0.7573)
Cs (0.1431, 0.1431, 0.5706)
Tl (0.5000, 0.5000, 0.5000)
Tl (0.5840, 0.0746, 0.7573)
Tl (0.4160, 0.4160, 0.2427)
Cs (0.0000, 0.0000, 0.0000)
Tl (0.0746, 0.5840, 0.7573)
Tl (0.4160, 0.9254, 0.2427)
Tl (0.9254, 0.4160, 0.2427)

ΔE_f = -0.88 eV per formula unit
Total DFT energy (no corrections) = -2.29 eV per atom
Space-group type = R-3m (166)
M_tot = 0.00 μB/f.u.

No. 4
Computed, not measured: crystalline Cs2Tl2Pb at its relaxed geometry at the GGA-PBE level of DFT.

a b c (Å): 5.1499 5.1499 9.0971
angles (deg): 73.56 73.56 90.00
Atoms (fractional coordinates):
Pb (0.0000, 0.0000, 0.0000)
Tl (0.5875, 0.5875, 0.8250)
Cs (0.7500, 0.2500, 0.5000)
Cs (0.2500, 0.7500, 0.5000)
Tl (0.4125, 0.4125, 0.1750)

Energy relative to the lowest polymorph listed for this composition = 377 meV/atom
ΔE_f = 1.14 eV per formula unit
Total DFT energy (no corrections) = -1.80 eV per atom
Space-group type = I4/mmm (139)
M_tot = 0.00 μB/f.u.

No. 5
Computed, not measured: crystalline Cs3Tl3Pb2 at its relaxed geometry at the GGA-PBE level of DFT.

a b c (Å): 4.9497 7.6058 20.4862
angles (deg): 90.00 90.00 108.99
Atoms (fractional coordinates):
Tl (0.0638, 0.1275, 0.7500)
Pb (0.3132, 0.6263, 0.3293)
Tl (0.0890, 0.1780, 0.8999)
Cs (0.6287, 0.2573, 0.2500)
Cs (0.3715, 0.7429, 0.5514)
Tl (0.9362, 0.8725, 0.2500)
Pb (0.3132, 0.6263, 0.1707)
Pb (0.6868, 0.3737, 0.6707)
Tl (0.9110, 0.8220, 0.1001)
Cs (0.6285, 0.2571, 0.0514)
Cs (0.3715, 0.7429, 0.9486)
Cs (0.6285, 0.2571, 0.4486)
Tl (0.0890, 0.1780, 0.6001)
Tl (0.9110, 0.8220, 0.3999)
Cs (0.3713, 0.7427, 0.7500)
Pb (0.6868, 0.3737, 0.8293)

Energy relative to the lowest polymorph listed for this composition = 0 meV/atom
ΔE_f = -1.07 eV per formula unit
Total DFT energy (no corrections) = -2.27 eV per atom
Space-group type = Cmcm (63)
M_tot = 0.00 μB/f.u.

No. 6
Computed, not measured: crystalline Cs2Tl6Pb3 at its relaxed geometry at the GGA-PBE level of DFT.

a b c (Å): 4.8782 9.6643 9.6643
angles (deg): 98.31 90.00 90.00
Atoms (fractional coordinates):
Cs (0.0000, 0.7120, 0.2880)
Tl (0.5000, 0.9542, 0.6538)
Tl (0.5000, 0.3790, 0.3790)
Pb (0.0000, 0.8029, 0.8029)
Tl (0.5000, 0.6538, 0.9542)
Tl (0.5000, 0.0458, 0.3462)
Pb (0.0000, 0.1971, 0.1971)
Tl (0.5000, 0.3462, 0.0458)
Cs (0.0000, 0.2880, 0.7120)
Pb (0.5000, 0.0000, 0.0000)
Tl (0.5000, 0.6210, 0.6210)

ΔE_f = -0.28 eV per formula unit
Total DFT energy (no corrections) = -2.48 eV per atom
Space-group type = Cmmm (65)
M_tot = 0.00 μB/f.u.

No. 7
Computed, not measured: crystalline CsTl8Pb2 at its relaxed geometry at the GGA-PBE level of DFT.

a b c (Å): 6.5247 6.5247 11.4928
angles (deg): 90.00 90.00 90.00
Atoms (fractional coordinates):
Tl (0.2487, 0.2487, 0.2067)
Tl (0.2487, 0.7513, 0.2067)
Tl (0.7513, 0.2487, 0.7933)
Tl (0.7513, 0.2487, 0.2067)
Cs (0.5000, 0.5000, 0.5000)
Tl (0.7513, 0.7513, 0.7933)
Tl (0.2487, 0.2487, 0.7933)
Tl (0.2487, 0.7513, 0.7933)
Pb (0.5000, 0.0000, 0.0000)
Pb (0.0000, 0.5000, 0.0000)
Tl (0.7513, 0.7513, 0.2067)

ΔE_f = 1.23 eV per formula unit
Total DFT energy (no corrections) = -2.36 eV per atom
Space-group type = P4/mmm (123)
M_tot = 0.00 μB/f.u.

No. 8
Computed, not measured: crystalline CsTlPb2 at its relaxed geometry at the GGA-PBE level of DFT.

a b c (Å): 5.3799 5.3799 7.5809
angles (deg): 69.22 69.22 60.00
Atoms (fractional coordinates):
Cs (0.4975, 0.4975, 0.5075)
Tl (0.7060, 0.7060, 0.8820)
Pb (0.2816, 0.2816, 0.1552)
Pb (0.0149, 0.0149, 0.9554)

Energy relative to the lowest polymorph listed for this composition = 25 meV/atom
ΔE_f = -0.30 eV per formula unit
Total DFT energy (no corrections) = -2.73 eV per atom
Space-group type = R3m (160)
M_tot = 0.00 μB/f.u.